Below is crystalline PmYCuOs at its relaxed geometry, with properties calculated at the PBE level.

* energy of formation from the pure elements: -15.8 kJ/mol of atoms
* theoretical density: 9.6 Mg/m³
* D(E_F): 2.67 states/eV/cell
* symmetry: F-43m (216)

a b c (Å): 4.925 4.925 4.925
angles (deg): 60.00 60.00 60.00
Element x y z (fractional)
Cu 0.000 0.000 0.000
Pm 0.250 0.250 0.250
Os 0.500 0.500 0.500
Y 0.750 0.750 0.750